This record from Alexandria describes an optimized crystal structure of K2AcMnF8. The functional is PBE+U.

Properties
The density of states at the Fermi level is 0.0 states/eV/f.u. Its symmetry is No. 2. For the total energy, the calculation gives -5.53 eV per atom. The calculation puts the calculated volume at 17.03 Å³ per atom. The density is 4.2 g/cm³.

Cell lengths 4.367, 6.105, 7.707 Å; angles 87.88, 89.06, 84.50 degrees
Positions (direct):
K 0.013 0.496 0.229
K 0.987 0.504 0.771
Ac 0.500 0.000 0.500
Mn 0.500 0.000 0.000
F 0.003 0.226 0.512
F 0.135 0.182 0.006
F 0.412 0.818 0.206
F 0.429 0.778 0.769
F 0.571 0.222 0.231
F 0.588 0.182 0.794
F 0.865 0.818 0.994
F 0.997 0.774 0.488



This record from Alexandria describes an optimized crystal structure of KAcMn2F8. The functional is PBE+U.

Properties
The density of states at the Fermi level is 0.0 states/eV/f.u. Its symmetry is No. 147. For the total energy, the calculation gives -5.95 eV per atom. The calculation puts the calculated volume at 20.67 Å³ per atom. The density is 3.5 g/cm³.

Cell lengths 5.682, 5.682, 8.873 Å; angles 90.00, 90.00, 120.00 degrees
Positions (direct):
K 0.000 0.000 0.000
Ac 0.000 0.000 0.500
Mn 0.333 0.667 0.793
Mn 0.667 0.333 0.207
F 0.042 0.332 0.684
F 0.290 0.958 0.684
F 0.332 0.290 0.316
F 0.333 0.667 0.012
F 0.667 0.333 0.988
F 0.668 0.710 0.684
F 0.710 0.042 0.316
F 0.958 0.668 0.316